[1]
{
  "formula": "MgGeO3",
  "functional": "GGA-PBE",
  "state": "relaxed",
  "e_form_raw_ev_per_atom": -2.143,
  "e_tot_ev_per_atom": -6.360,
  "dos_at_fermi_per_ev_atom": 0.00,
  "cell": [[6.646, 0.000, -0.001], [0.470, 6.629, -0.001], [0.738, 0.688, 5.132]],
  "species": ["O", "O", "O", "O", "O", "O", "O", "O", "O", "O", "O", "O", "Ge", "Ge", "Ge", "Ge", "Mg", "Mg", "Mg", "Mg"],
  "fractional_positions": [[0.859, 0.374, 0.882], [0.141, 0.626, 0.118], [0.290, 0.430, 0.597], [0.794, 0.975, 0.132], [0.626, 0.141, 0.618], [0.975, 0.794, 0.632], [0.710, 0.570, 0.403], [0.206, 0.025, 0.868], [0.570, 0.710, 0.903], [0.430, 0.290, 0.097], [0.025, 0.206, 0.368], [0.374, 0.859, 0.382], [0.205, 0.395, 0.289], [0.605, 0.795, 0.211], [0.795, 0.605, 0.711], [0.395, 0.205, 0.789], [0.907, 0.093, 0.750], [0.270, 0.730, 0.750], [0.730, 0.270, 0.250], [0.093, 0.907, 0.250]]
}

[2]
{
  "formula": "ErCoCuGe2",
  "functional": "GGA-PBE",
  "state": "relaxed",
  "formation_energy_kj_per_mol_atoms": -47,
  "e_tot_ev_per_atom": -5.487,
  "dos_at_fermi_per_ev_atom": 0.61,
  "cell": [[4.035, 0.000, 0.000], [0.000, 4.035, 0.000], [-2.017, -2.017, 5.022]],
  "species": ["Ge", "Ge", "Er", "Cu", "Co"],
  "fractional_positions": [[0.376, 0.376, 0.751], [0.624, 0.624, 0.249], [0.000, 0.000, 0.000], [0.250, 0.750, 0.500], [0.750, 0.250, 0.500]]
}

[3]
{
  "formula": "CdInW2",
  "functional": "GGA-PBE",
  "state": "relaxed",
  "de_polymorph_mev_per_atom": 249.6,
  "formation_energy_kj_per_mol_atoms": 65,
  "e_tot_ev_per_atom": -6.716,
  "dos_at_fermi_per_ev_atom": 0.60,
  "cell": [[4.770, 0.000, 0.000], [0.000, 2.825, 0.018], [0.000, 1.114, 5.402]],
  "species": ["In", "W", "W", "Cd"],
  "fractional_positions": [[0.500, 0.750, 0.750], [0.000, 0.487, 0.507], [0.000, 0.013, 0.993], [0.500, 0.250, 0.250]]
}

[4]
{
  "formula": "Ac3AsPd",
  "functional": "GGA-PBE",
  "state": "relaxed",
  "formation_energy_kj_per_mol_atoms": -27,
  "e_tot_ev_per_atom": -4.710,
  "dos_at_fermi_per_ev_atom": 1.35,
  "cell": [[5.815, 0.000, 0.000], [0.000, 5.815, 0.000], [0.000, 0.000, 5.815]],
  "species": ["Pd", "Ac", "Ac", "Ac", "As"],
  "fractional_positions": [[0.000, 0.000, 0.000], [0.000, 0.500, 0.000], [0.000, 0.000, 0.500], [0.500, 0.000, 0.000], [0.500, 0.500, 0.500]]
}

[5]
{
  "formula": "PaVH2",
  "functional": "GGA-PBE",
  "state": "relaxed",
  "de_polymorph_mev_per_atom": 480.1,
  "e_tot_ev_per_atom": -5.938,
  "dos_at_fermi_per_ev_atom": 1.16,
  "cell": [[3.025, 0.000, 0.000], [0.000, 3.872, 0.000], [0.000, 0.000, 3.872]],
  "species": ["H", "H", "Pa", "V"],
  "fractional_positions": [[0.000, 0.000, 0.500], [0.000, 0.500, 0.000], [0.500, 0.500, 0.500], [0.500, 0.000, 0.000]]
}

[6]
{
  "formula": "LiZnHS",
  "functional": "GGA-PBE",
  "state": "relaxed",
  "e_tot_ev_per_atom": -3.286,
  "dos_at_fermi_per_ev_atom": 0.00,
  "cell": [[-2.773, 2.440, -0.201], [-3.312, -1.063, -1.260], [-4.784, -1.912, 8.755]],
  "species": ["Zn", "Zn", "Li", "Li", "H", "H", "S", "S"],
  "fractional_positions": [[0.754, 0.754, 0.737], [0.246, 0.246, 0.263], [0.500, 0.500, 0.500], [0.000, 0.000, 0.000], [0.191, 0.191, 0.428], [0.809, 0.809, 0.572], [0.388, 0.388, 0.837], [0.612, 0.612, 0.163]]
}

[7]
{
  "formula": "CoRe2Cl",
  "functional": "GGA-PBE",
  "state": "relaxed",
  "de_polymorph_mev_per_atom": 701.7,
  "e_form_raw_ev_per_atom": 1.069,
  "e_tot_ev_per_atom": -7.393,
  "dos_at_fermi_per_ev_atom": 0.93,
  "cell": [[-0.129, 4.312, 0.550], [-3.748, 0.157, -2.201], [0.379, -2.617, 3.453]],
  "species": ["Re", "Re", "Co", "Cl"],
  "fractional_positions": [[0.250, 0.750, 0.500], [0.000, 0.000, 0.000], [0.750, 0.250, 0.500], [0.500, 0.500, 0.000]]
}

[8]
{
  "formula": "Ba2LaTlSe5",
  "functional": "GGA-PBE",
  "state": "relaxed",
  "e_form_raw_ev_per_atom": -1.555,
  "e_tot_ev_per_atom": -4.728,
  "dos_at_fermi_per_ev_atom": 0.02,
  "cell": [[4.429, 0.000, 0.000], [-2.215, 9.725, 0.000], [0.000, 0.000, 13.491]],
  "species": ["Se", "Se", "Se", "Se", "Se", "Se", "Se", "Se", "Se", "Se", "La", "La", "Ba", "Ba", "Ba", "Ba", "Tl", "Tl"],
  "fractional_positions": [[0.684, 0.368, 0.864], [0.494, 0.987, 0.765], [0.048, 0.095, 0.063], [0.291, 0.583, 0.665], [0.709, 0.417, 0.165], [0.506, 0.013, 0.265], [0.641, 0.282, 0.504], [0.316, 0.632, 0.364], [0.359, 0.718, 0.004], [0.952, 0.905, 0.563], [0.790, 0.581, 0.517], [0.210, 0.419, 0.017], [0.883, 0.765, 0.184], [0.132, 0.264, 0.317], [0.117, 0.235, 0.684], [0.868, 0.736, 0.817], [0.546, 0.092, 0.944], [0.454, 0.908, 0.444]]
}

[9]
{
  "formula": "BiPb2Cl",
  "functional": "GGA-PBE",
  "state": "relaxed",
  "de_polymorph_mev_per_atom": 0.0,
  "e_form_raw_ev_per_atom": -0.351,
  "e_tot_ev_per_atom": -3.637,
  "dos_at_fermi_per_ev_atom": 0.07,
  "cell": [[-0.923, 0.591, -4.538], [-4.333, -0.666, -1.607], [-3.254, 6.849, -0.848]],
  "species": ["Pb", "Pb", "Bi", "Cl"],
  "fractional_positions": [[0.252, 0.252, 0.244], [0.748, 0.748, 0.756], [0.000, 0.000, 0.000], [0.500, 0.500, 0.500]]
}

[10]
{
  "formula": "KLiCd2",
  "functional": "GGA-PBE",
  "state": "relaxed",
  "de_polymorph_mev_per_atom": 141.6,
  "formation_energy_kj_per_mol_atoms": 3,
  "e_tot_ev_per_atom": -1.181,
  "dos_at_fermi_per_ev_atom": 0.67,
  "cell": [[0.000, 3.893, 3.893], [3.893, 0.000, 3.893], [3.893, 3.893, 0.000]],
  "species": ["Li", "Cd", "Cd", "K"],
  "fractional_positions": [[0.000, 0.000, 0.000], [0.750, 0.750, 0.750], [0.250, 0.250, 0.250], [0.500, 0.500, 0.500]]
}

[11]
{
  "formula": "La4ErTh",
  "functional": "GGA-PBE",
  "state": "relaxed",
  "formation_energy_kj_per_mol_atoms": 17,
  "e_tot_ev_per_atom": -5.102,
  "dos_at_fermi_per_ev_atom": 1.78,
  "cell": [[3.508, 0.000, 0.000], [1.754, 5.866, -0.119], [1.754, 0.486, 10.286]],
  "species": ["Th", "La", "La", "La", "La", "Er"],
  "fractional_positions": [[0.500, 0.500, 0.500], [0.153, 0.035, 0.659], [0.665, 0.511, 0.160], [0.335, 0.489, 0.840], [0.847, 0.965, 0.341], [0.000, 0.000, 0.000]]
}

[12]
{
  "formula": "K2ReI",
  "functional": "GGA-PBE",
  "state": "relaxed",
  "de_polymorph_mev_per_atom": 51.2,
  "e_form_raw_ev_per_atom": 0.975,
  "e_tot_ev_per_atom": -3.073,
  "dos_at_fermi_per_ev_atom": 0.58,
  "cell": [[9.230, 0.000, 0.000], [0.000, 9.230, 0.000], [4.615, 4.615, 4.189]],
  "species": ["K", "K", "K", "K", "Re", "Re", "I", "I"],
  "fractional_positions": [[0.624, 0.125, 0.250], [0.126, 0.625, 0.250], [0.375, 0.376, 0.750], [0.875, 0.874, 0.750], [0.750, 0.250, 0.500], [0.000, 0.000, 0.000], [0.500, 0.500, 0.000], [0.250, 0.750, 0.500]]
}

[13]
{
  "formula": "Ag2RhAu",
  "functional": "GGA-PBE",
  "state": "relaxed",
  "formation_energy_kj_per_mol_atoms": 14,
  "e_tot_ev_per_atom": -3.935,
  "dos_at_fermi_per_ev_atom": 0.77,
  "cell": [[-0.838, 2.661, 0.312], [-3.637, -1.310, 1.402], [2.101, 0.020, 5.471]],
  "species": ["Ag", "Ag", "Rh", "Au"],
  "fractional_positions": [[0.500, 0.500, 0.247], [0.000, 0.000, 0.995], [0.500, 0.500, 0.747], [0.000, 0.000, 0.510]]
}

[14]
{
  "formula": "CaIrSe4",
  "functional": "GGA-PBE",
  "state": "relaxed",
  "e_form_raw_ev_per_atom": 0.484,
  "e_tot_ev_per_atom": -3.650,
  "dos_at_fermi_per_ev_atom": 1.10,
  "cell": [[-4.239, -1.664, 3.356], [-5.350, 0.398, -1.793], [-2.921, -4.681, -1.244]],
  "species": ["Se", "Se", "Se", "Se", "Ca", "Ir"],
  "fractional_positions": [[0.373, 0.880, 0.373], [0.373, 0.373, 0.880], [0.880, 0.373, 0.373], [0.373, 0.373, 0.373], [0.750, 0.750, 0.750], [0.000, 0.000, 0.000]]
}

[15]
{
  "formula": "Pb3Se2Br2O6",
  "functional": "GGA-PBE",
  "state": "relaxed",
  "e_form_raw_ev_per_atom": -1.030,
  "e_tot_ev_per_atom": -4.968,
  "dos_at_fermi_per_ev_atom": 0.00,
  "cell": [[7.398, -0.018, 0.065], [5.141, 5.321, 0.065], [1.191, 0.503, 14.010]],
  "species": ["Pb", "Pb", "Pb", "Pb", "Pb", "Pb", "Br", "Br", "Br", "Br", "O", "O", "O", "O", "O", "O", "O", "O", "O", "O", "O", "O", "Se", "Se", "Se", "Se"],
  "fractional_positions": [[0.764, 0.822, 0.852], [0.572, 0.428, 0.250], [0.428, 0.572, 0.750], [0.822, 0.764, 0.352], [0.178, 0.236, 0.648], [0.236, 0.178, 0.148], [0.637, 0.663, 0.062], [0.363, 0.337, 0.938], [0.663, 0.637, 0.562], [0.337, 0.363, 0.438], [0.628, 0.061, 0.196], [0.939, 0.372, 0.304], [0.630, 0.103, 0.700], [0.964, 0.076, 0.138], [0.103, 0.630, 0.200], [0.924, 0.036, 0.362], [0.036, 0.924, 0.862], [0.076, 0.964, 0.638], [0.061, 0.628, 0.696], [0.372, 0.939, 0.804], [0.897, 0.370, 0.800], [0.370, 0.897, 0.300], [0.107, 0.093, 0.377], [0.893, 0.907, 0.623], [0.093, 0.107, 0.877], [0.907, 0.893, 0.123]]
}

[16]
{
  "formula": "AcEuScIn",
  "functional": "GGA-PBE",
  "state": "relaxed",
  "formation_energy_kj_per_mol_atoms": -2,
  "e_tot_ev_per_atom": -5.881,
  "dos_at_fermi_per_ev_atom": 1.55,
  "cell": [[-4.143, 2.149, -3.072], [-0.679, -1.625, -5.302], [-4.372, -3.180, -1.409]],
  "species": ["Ac", "In", "Sc", "Eu"],
  "fractional_positions": [[0.250, 0.250, 0.250], [0.750, 0.750, 0.750], [0.000, 0.000, 0.000], [0.500, 0.500, 0.500]]
}

[17]
{
  "formula": "LaSe3I",
  "functional": "GGA-PBE",
  "state": "relaxed",
  "de_polymorph_mev_per_atom": 0.0,
  "e_form_raw_ev_per_atom": -0.220,
  "e_tot_ev_per_atom": -3.607,
  "dos_at_fermi_per_ev_atom": 0.25,
  "cell": [[5.397, 0.000, 0.000], [0.000, 5.397, 0.000], [0.000, 0.000, 5.397]],
  "species": ["Se", "Se", "Se", "La", "I"],
  "fractional_positions": [[0.000, 0.000, 0.500], [0.500, 0.000, 0.000], [0.000, 0.500, 0.000], [0.500, 0.500, 0.500], [0.000, 0.000, 0.000]]
}

[18]
{
  "formula": "Nb2Pd3Pt8",
  "functional": "GGA-PBE",
  "state": "relaxed",
  "formation_energy_kj_per_mol_atoms": -21,
  "e_tot_ev_per_atom": -6.684,
  "dos_at_fermi_per_ev_atom": 0.72,
  "cell": [[-0.359, -4.570, 0.000], [7.635, -0.600, 2.056], [-5.460, -0.655, 4.795]],
  "species": ["Pt", "Pt", "Pt", "Pt", "Pt", "Pt", "Pt", "Pt", "Nb", "Nb", "Pd", "Pd", "Pd"],
  "fractional_positions": [[0.138, 0.805, 0.610], [0.366, 0.943, 0.325], [0.366, 0.382, 0.325], [0.862, 0.195, 0.390], [0.634, 0.057, 0.675], [0.774, 0.442, 0.884], [0.226, 0.558, 0.116], [0.634, 0.618, 0.675], [0.697, 0.671, 0.343], [0.303, 0.329, 0.657], [0.000, 0.195, 0.000], [0.000, 0.805, 0.000], [0.500, 0.000, 0.000]]
}

[19]
{
  "formula": "AcLaNd2Er4",
  "functional": "GGA-PBE",
  "state": "relaxed",
  "formation_energy_kj_per_mol_atoms": 3,
  "e_tot_ev_per_atom": -4.567,
  "dos_at_fermi_per_ev_atom": 1.42,
  "cell": [[-3.335, 11.324, -3.923], [-6.477, -2.707, -2.305], [6.261, -3.478, 10.173]],
  "species": ["Er", "Er", "Er", "Er", "Er", "Er", "Er", "Er", "Ac", "Ac", "Nd", "Nd", "Nd", "Nd", "La", "La"],
  "fractional_positions": [[0.256, 0.255, 0.507], [0.745, 0.745, 0.493], [0.256, 0.759, 0.507], [0.255, 0.255, 0.004], [0.255, 0.752, 0.004], [0.745, 0.242, 0.493], [0.744, 0.248, 0.996], [0.744, 0.744, 0.996], [0.000, 0.500, 0.500], [0.000, 0.500, 0.000], [0.500, 0.500, 0.000], [0.500, 0.000, 0.000], [0.000, 0.000, 0.500], [0.500, 0.000, 0.500], [0.500, 0.500, 0.500], [0.000, 0.000, 0.000]]
}

[20]
{
  "formula": "CuTcSe2",
  "functional": "GGA-PBE",
  "state": "relaxed",
  "de_polymorph_mev_per_atom": 371.0,
  "e_form_raw_ev_per_atom": 0.337,
  "e_tot_ev_per_atom": -5.021,
  "dos_at_fermi_per_ev_atom": 0.75,
  "cell": [[2.882, 0.024, 0.000], [-1.122, 2.655, 0.000], [0.000, 0.000, 9.625]],
  "species": ["Cu", "Tc", "Se", "Se"],
  "fractional_positions": [[0.500, 0.500, 0.733], [0.000, 0.000, 0.514], [0.500, 0.500, 0.319], [0.000, 0.000, 0.935]]
}